(1)
The following is a DFT calculation (PBE) of a relaxed La2Hg crystal.

a = 5.4485 Å, b = 5.4485 Å, c = 3.2846 Å
α = 90.00°, β = 90.00°, γ = 120.00°
Fractional positions:
La1 0.3333 0.6667 0.0000
La2 0.6667 0.3333 0.0000
Hg1 0.0000 0.0000 0.5000

Summary:
Energy relative to the elements (eV per atom): -0.154
SG: P6/mmm, No. 191
Total magnetic moment (μB per atom): 0.000
Total DFT energy (no corrections) (Ry per atom): -0.2598

(2)
The following is a DFT calculation (PBE) of a relaxed DyThAl crystal.

a = 5.0572 Å, b = 5.0572 Å, c = 5.0572 Å
α = 60.00°, β = 60.00°, γ = 60.00°
Fractional positions:
Dy1 0.0000 0.0000 0.0000
Th1 0.5000 0.5000 0.5000
Al1 0.2500 0.2500 0.2500

Summary:
Excess energy over the best structure of this formula in the dataset (eV/atom): 0.000
SG: F-43m, No. 216
Total magnetic moment (μB per atom): 0.003
Total DFT energy (no corrections) (Ry per atom): -0.3825

(3)
The following is a DFT calculation (PBE) of a relaxed DyYSi2 crystal.

a = 3.8390 Å, b = 5.6902 Å, c = 5.6902 Å
α = 44.15°, β = 90.00°, γ = 90.00°
Fractional positions:
Dy1 0.0000 0.0000 0.0000
Y1 0.5000 0.7187 0.7187
Si1 0.0000 0.2833 0.2833
Si2 0.5000 0.4364 0.4364

Summary:
SG: Amm2, No. 38
Total magnetic moment (μB per atom): 0.002
Total DFT energy (no corrections) (Ry per atom): -0.4645